Density functional theory data (PBE) for crystalline NaMgTe3 at its relaxed geometry.

Computed properties:
Space-group type: Pm-3m
Energy, eV per atom: -2.65
Energy above the lowest structure with this stoichiometry, eV/atom: 0.000
Fermi-level density of states, states/eV/f.u.: 5.9
Magnetization, μB per cell: 0.00

Unit cell a=5.5430 b=5.5430 c=5.5430 alpha=90.00 beta=90.00 gamma=90.00
Closest atoms and distances in Å follow each position.
Fractional positions:
Mg: 0.0000 0.0000 0.0000  6 Te 2.77
Te: 0.5000 0.0000 0.0000  2 Mg 2.77
Na: 0.5000 0.5000 0.5000  12 Te 3.92
Te: 0.0000 0.0000 0.5000  2 Mg 2.77
Te: 0.0000 0.5000 0.0000  2 Mg 2.77



Density functional theory data (PBE) for crystalline Mn3CuW at its relaxed geometry.

Computed properties:
Space-group type: Pm-3m
Energy, eV per atom: -7.38
Energy above the lowest structure with this stoichiometry, eV/atom: 0.144
Fermi-level density of states, states/eV/f.u.: 4.8
Magnetization, μB per cell: 7.90
Calculated formation energy, eV per atom: 1.53

Unit cell a=4.5951 b=4.5951 c=4.5951 alpha=90.00 beta=90.00 gamma=90.00
Closest atoms and distances in Å follow each position.
Fractional positions:
Mn: 0.0000 0.5000 0.0000  2 W 2.30
W: 0.0000 0.0000 0.0000  6 Mn 2.30
Cu: 0.5000 0.5000 0.5000  12 Mn 3.25
Mn: 0.5000 0.0000 0.0000  2 W 2.30
Mn: 0.0000 0.0000 0.5000  2 W 2.30



Density functional theory data (PBE) for crystalline LiYTl at its relaxed geometry.

Computed properties:
Space-group type: Pmmn
Energy, eV per atom: -3.88
Energy above the lowest structure with this stoichiometry, eV/atom: 0.005
Fermi-level density of states, states/eV/f.u.: 2.2
Magnetization, μB per cell: 0.00
Calculated formation energy, eV per atom: -0.30

Unit cell a=4.7867 b=8.0914 c=3.8582 alpha=90.00 beta=90.00 gamma=90.00
Closest atoms and distances in Å follow each position.
Fractional positions:
Li: 0.5000 0.0170 0.5000  4 Tl 2.87-3.03, 4 Li 3.09
Tl: 0.0000 0.2463 0.5000  4 Li 2.87-3.03, 4 Y 3.20
Y: 0.0000 0.6443 0.5000  5 Tl 3.20-3.22, 2 Li 3.35
Li: 0.0000 0.9830 0.0000  4 Tl 2.87-3.03, 4 Li 3.09
Tl: 0.5000 0.7536 0.0000  4 Li 2.87-3.03, 4 Y 3.20
Y: 0.5000 0.3557 0.0000  5 Tl 3.20-3.22, 2 Li 3.35



Question: What is the energy above the lowest structure with this stoichiometry in the third record?
Answer: 0.005 eV/atom